No. 1
Material: Hf12ZnSb6
Method: DFT, GGA-PBE
State: optimized geometry

## Properties
DOS(E_F) (states/eV per atom): 1.0263
Final energy (eV per atom): -7.700
Raw formation energy (kJ/mol of atoms): -4

abc: 11.6833 11.6833 11.5524
angles: 90.00 90.00 120.00
Space group R-3 (No. 148, hexagonal axes)
Symmetry-distinct sites (fractional):
Hf (0.0384, 0.1774, 0.3857) [18 per cell]
Hf (0.0680, 0.1833, 0.8381) [18 per cell]
Zn (0.0000, 0.0000, 0.0000) [3 per cell]
Sb (0.0175, 0.4095, 0.2969) [18 per cell]

***

No. 2
Material: Hf5ZnSb2
Method: DFT, GGA-PBE
State: optimized geometry

## Properties
DOS(E_F) (states/eV per atom): 0.9274
Final energy (eV per atom): -7.320
Raw formation energy (kJ/mol of atoms): 9

abc: 4.916 13.378 12.332
angles: 90.00 90.00 90.00
Space group Cmcm (No. 63)
Symmetry-distinct sites (fractional):
Hf (0.000, 0.106, 0.127) [8 per cell]
Hf (0.000, 0.303, 0.750) [4 per cell]
Hf (0.000, 0.311, 0.015) [8 per cell]
Zn (0.000, 0.298, 0.250) [4 per cell]
Sb (0.000, 0.110, 0.616) [8 per cell]

***

No. 3
Material: Hf5Zn2Sb
Method: DFT, GGA-PBE
State: optimized geometry

## Properties
DOS(E_F) (states/eV per atom): 1.4846
Final energy (eV per atom): -7.288
Raw formation energy (kJ/mol of atoms): -23

abc: 7.186 7.186 12.521
angles: 90.00 90.00 90.00
Space group I4/mcm (No. 140)
Symmetry-distinct sites (fractional):
Hf (0.000, 0.000, 0.000) [4 per cell]
Hf (0.155, 0.345, 0.152) [16 per cell]
Zn (0.135, 0.365, 0.500) [8 per cell]
Sb (0.000, 0.000, 0.250) [4 per cell]

***

No. 4
Material: Hf2ZnSb2
Method: DFT, GGA-PBE
State: optimized geometry

## Properties
DOS(E_F) (states/eV per atom): 0.4630
Excess energy over the best structure of this formula in the dataset (meV/atom): 148.1
Final energy (eV per atom): -6.020
Raw formation energy (kJ/mol of atoms): -13

abc: 7.819 7.819 3.732
angles: 90.00 90.00 90.00
Space group P4/mbm (No. 127)
Symmetry-distinct sites (fractional):
Hf (0.138, 0.362, 0.000) [4 per cell]
Zn (0.000, 0.000, 0.500) [2 per cell]
Sb (0.156, 0.656, 0.500) [4 per cell]

***

No. 5
Material: Hf4ZnSb
Method: DFT, GGA-PBE
State: optimized geometry

## Properties
DOS(E_F) (states/eV per atom): 0.8866
Final energy (eV per atom): -7.769
Raw formation energy (kJ/mol of atoms): -23

abc: 6.697 6.697 5.609
angles: 90.00 90.00 90.00
Space group P4/mcc (No. 124)
Symmetry-distinct sites (fractional):
Hf (0.143, 0.337, 0.000) [8 per cell]
Zn (0.000, 0.000, 0.250) [2 per cell]
Sb (0.500, 0.500, 0.250) [2 per cell]

***

No. 6
Material: HfZr3Sb4
Method: DFT, GGA-PBE
State: optimized geometry

## Properties
DOS(E_F) (states/eV per atom): 0.5095
Final energy (eV per atom): -6.784
Raw formation energy (kJ/mol of atoms): -26

abc: 5.735 9.443 8.432
angles: 90.00 90.00 90.00
Space group Pmmn (No. 59, origin choice 2)
Symmetry-distinct sites (fractional):
Hf (0.250, 0.250, 0.094) [2 per cell]
Zr (0.250, 0.544, 0.655) [4 per cell]
Zr (0.250, 0.750, 0.259) [2 per cell]
Sb (0.250, 0.051, 0.336) [4 per cell]
Sb (0.250, 0.250, 0.744) [2 per cell]
Sb (0.250, 0.750, 0.920) [2 per cell]

***

No. 7
Material: Hf2ZrSb
Method: DFT, GGA-PBE
State: optimized geometry

## Properties
DOS(E_F) (states/eV per atom): 0.7226
Final energy (eV per atom): -8.569
Raw formation energy (kJ/mol of atoms): -41

abc: 4.190 4.203 10.520
angles: 90.00 101.38 90.00
Space group P2_1/m (No. 11)
Symmetry-distinct sites (fractional):
Hf (0.055, 0.250, 0.111) [2 per cell]
Hf (0.444, 0.250, 0.888) [2 per cell]
Zr (0.192, 0.750, 0.389) [2 per cell]
Sb (0.338, 0.750, 0.672) [2 per cell]

***

No. 8
Material: Hf2Zr3Sb3
Method: DFT, GGA-PBE
State: optimized geometry

## Properties
DOS(E_F) (states/eV per atom): 0.7475
Excess energy over the best structure of this formula in the dataset (meV/atom): 134.5
Final energy (eV per atom): -7.688
Raw formation energy (kJ/mol of atoms): -43

abc: 3.677 14.645 13.985
angles: 90.00 90.00 90.00
Space group Cmcm (No. 63)
Symmetry-distinct sites (fractional):
Hf (0.000, 0.244, 0.132) [8 per cell]
Zr (0.000, 0.025, 0.610) [8 per cell]
Zr (0.000, 0.393, 0.750) [4 per cell]
Sb (0.000, 0.381, 0.531) [8 per cell]
Sb (0.000, 0.401, 0.250) [4 per cell]

***

No. 9
Material: HfZrSb2
Method: DFT, GGA-PBE
State: optimized geometry

## Properties
DOS(E_F) (states/eV per atom): 0.6845
Excess energy over the best structure of this formula in the dataset (meV/atom): 57.6
Final energy (eV per atom): -7.119
Raw formation energy (kJ/mol of atoms): -42

abc: 4.1183 4.1183 20.2866
angles: 90.00 90.00 120.00
Space group R-3m (No. 166, hexagonal axes)
Symmetry-distinct sites (fractional):
Hf (0.0000, 0.0000, 0.0000) [3 per cell]
Zr (0.0000, 0.0000, 0.5000) [3 per cell]
Sb (0.0000, 0.0000, 0.2515) [6 per cell]

***

No. 10
Material: HfZrSb2
Method: DFT, GGA-PBE
State: optimized geometry

## Properties
DOS(E_F) (states/eV per atom): 0.3223
Excess energy over the best structure of this formula in the dataset (meV/atom): 0.0
Final energy (eV per atom): -7.176
Raw formation energy (kJ/mol of atoms): -47

abc: 3.9938 3.9938 21.5376
angles: 90.00 90.00 120.00
Space group R3m (No. 160, hexagonal axes)
Symmetry-distinct sites (fractional):
Hf (0.0000, 0.0000, 0.0000) [3 per cell]
Zr (0.0000, 0.0000, 0.1732) [3 per cell]
Sb (0.0000, 0.0000, 0.5869) [3 per cell]
Sb (0.0000, 0.0000, 0.7531) [3 per cell]

***

No. 11
Material: Hf2ZrSb
Method: DFT, GGA-PBE
State: optimized geometry

## Properties
DOS(E_F) (states/eV per atom): 0.6469
Final energy (eV per atom): -8.535
Raw formation energy (kJ/mol of atoms): -38

abc: 3.655 10.860 9.133
angles: 90.00 90.00 90.00
Space group Cmcm (No. 63)
Symmetry-distinct sites (fractional):
Hf (0.000, 0.132, 0.032) [8 per cell]
Zr (0.000, 0.445, 0.250) [4 per cell]
Sb (0.000, 0.271, 0.750) [4 per cell]

***

No. 12
Material: Hf2ZrSb
Method: DFT, GGA-PBE
State: optimized geometry

## Properties
DOS(E_F) (states/eV per atom): 0.9973
Final energy (eV per atom): -8.458
Raw formation energy (kJ/mol of atoms): -30

abc: 4.496 4.496 4.302
angles: 90.00 90.00 90.00
Space group P4/mmm (No. 123)
Symmetry-distinct sites (fractional):
Hf (0.000, 0.500, 0.000) [2 per cell]
Zr (0.000, 0.000, 0.500) [1 per cell]
Sb (0.500, 0.500, 0.500) [1 per cell]